No. 1
VASP calculation (PBE) on a relaxed structure of ReIr2Ru.

Properties
- Energy: -9.516 eV/atom
- DOS(E_F): 4.8 states/eV/f.u.
- ρ: 18.7 Mg/m³
- V: 60 Å³ per cell

Cell lengths 3.319, 3.319, 5.417 Å; angles 90.00, 90.00, 90.00 degrees
Fractional positions:
Re1 0.000 0.000 0.000
Ir1 0.500 0.500 0.251
Ir2 0.500 0.500 0.749
Ru1 0.000 0.000 0.500

***

No. 2
VASP calculation (PBE) on a relaxed structure of ReIr2Ru.

Properties
- Energy: -9.754 eV/atom
- DOS(E_F): 3.8 states/eV/f.u.
- ρ: 18.8 Mg/m³
- V: 119 Å³ per cell

Cell lengths 10.142, 10.142, 4.340 Å; angles 90.00, 90.00, 164.59 degrees
Fractional positions:
Re1 0.226 0.774 0.750
Re2 0.774 0.226 0.250
Ir1 0.032 0.968 0.250
Ir2 0.156 0.844 0.250
Ir3 0.844 0.156 0.750
Ir4 0.968 0.032 0.750
Ru1 0.400 0.600 0.250
Ru2 0.600 0.400 0.750

***

No. 3
VASP calculation (PBE) on a relaxed structure of ReIrRu.

Properties
- DOS(E_F): 3.4 states/eV/f.u.
- ρ: 18.3 Mg/m³
- V: 43 Å³ per cell
- E above lowest polymorph: 0.36 eV per formula unit

Cell lengths 6.073, 6.073, 6.073 Å; angles 153.85, 153.85, 37.32 degrees
Fractional positions:
Re1 0.000 0.000 0.000
Ir1 0.335 0.335 0.000
Ru1 0.660 0.660 0.000

***

No. 4
VASP calculation (PBE) on a relaxed structure of ReIr4Ru.

Properties
- DOS(E_F): 6.3 states/eV/f.u.
- ρ: 20.2 Mg/m³
- V: 87 Å³ per cell
- E above lowest polymorph: 0.00 eV per formula unit

Cell lengths 2.731, 3.867, 8.214 Å; angles 90.00, 90.00, 90.00 degrees
Fractional positions:
Re1 0.000 0.000 0.000
Ir1 0.000 0.000 0.334
Ir2 0.000 0.000 0.666
Ir3 0.500 0.500 0.165
Ir4 0.500 0.500 0.835
Ru1 0.500 0.500 0.500

***

No. 5
VASP calculation (PBE) on a relaxed structure of ReIr12Ru3.

Properties
- Energy: -9.216 eV/atom
- DOS(E_F): 14.8 states/eV/f.u.
- ρ: 20.1 Mg/m³
- V: 231 Å³ per cell

Cell lengths 3.863, 3.863, 15.445 Å; angles 90.00, 90.00, 90.00 degrees
Fractional positions:
Re1 0.000 0.000 0.000
Ir1 0.000 0.500 0.124
Ir2 0.000 0.500 0.375
Ir3 0.000 0.500 0.625
Ir4 0.000 0.500 0.876
Ir5 0.500 0.000 0.124
Ir6 0.500 0.000 0.375
Ir7 0.500 0.000 0.625
Ir8 0.500 0.000 0.876
Ir9 0.500 0.500 0.000
Ir10 0.500 0.500 0.250
Ir11 0.500 0.500 0.500
Ir12 0.500 0.500 0.750
Ru1 0.000 0.000 0.253
Ru2 0.000 0.000 0.500
Ru3 0.000 0.000 0.747

***

No. 6
VASP calculation (PBE) on a relaxed structure of ReIrRu4.

Properties
- DOS(E_F): 5.1 states/eV/f.u.
- ρ: 15.3 Mg/m³
- V: 85 Å³ per cell
- E above lowest polymorph: 0.00 eV per formula unit

Cell lengths 2.741, 4.333, 7.276 Å; angles 90.00, 101.02, 90.00 degrees
Fractional positions:
Re1 0.000 0.000 0.000
Ir1 0.225 0.500 0.448
Ru1 0.337 0.000 0.674
Ru2 0.558 0.500 0.113
Ru3 0.669 0.000 0.338
Ru4 0.893 0.500 0.785

***

No. 7
VASP calculation (PBE) on a relaxed structure of Re3IrRu.

Properties
- DOS(E_F): 7.6 states/eV/f.u.
- ρ: 14.8 Mg/m³
- V: 96 Å³ per cell
- E above lowest polymorph: 11.99 eV per formula unit

Cell lengths 4.575, 4.575, 4.575 Å; angles 90.00, 90.00, 90.00 degrees
Fractional positions:
Re1 0.000 0.000 0.500
Re2 0.000 0.500 0.000
Re3 0.500 0.000 0.000
Ir1 0.500 0.500 0.500
Ru1 0.000 0.000 0.000

***

No. 8
VASP calculation (PBE) on a relaxed structure of ReIrRu3.

Properties
- DOS(E_F): 4.6 states/eV/f.u.
- ρ: 15.5 Mg/m³
- V: 146 Å³ per cell
- E above lowest polymorph: 0.00 eV per formula unit

Cell lengths 4.674, 5.110, 6.838 Å; angles 72.76, 70.21, 89.95 degrees
Fractional positions:
Re1 0.000 0.000 0.000
Re2 0.383 0.746 0.227
Ir1 0.773 0.438 0.803
Ir2 0.790 0.807 0.424
Ru1 0.181 0.500 0.997
Ru2 0.192 0.877 0.613
Ru3 0.370 0.371 0.614
Ru4 0.562 0.249 0.229
Ru5 0.604 0.940 0.803
Ru6 0.961 0.310 0.423

***

No. 9
VASP calculation (PBE) on a relaxed structure of ReIrRu2.

Properties
- Energy: -9.455 eV/atom
- DOS(E_F): 6.5 states/eV/f.u.
- ρ: 16.4 Mg/m³
- V: 59 Å³ per cell

Cell lengths 4.369, 4.369, 4.369 Å; angles 60.00, 60.00, 60.00 degrees
Fractional positions:
Re1 0.000 0.000 0.000
Ir1 0.750 0.750 0.750
Ru1 0.250 0.250 0.250
Ru2 0.500 0.500 0.500

***

No. 10
VASP calculation (PBE) on a relaxed structure of Re2Ir7Ru2.

Properties
- Energy: -9.294 eV/atom
- DOS(E_F): 11.3 states/eV/f.u.
- ρ: 18.6 Mg/m³
- V: 171 Å³ per cell

Cell lengths 6.099, 6.099, 4.739 Å; angles 97.66, 97.66, 80.74 degrees
Fractional positions:
Re1 0.180 0.820 0.000
Re2 0.820 0.180 0.000
Ir1 0.000 0.000 0.500
Ir2 0.050 0.409 0.742
Ir3 0.409 0.050 0.742
Ir4 0.463 0.463 0.731
Ir5 0.537 0.537 0.269
Ir6 0.591 0.950 0.258
Ir7 0.950 0.591 0.258
Ru1 0.232 0.232 0.248
Ru2 0.768 0.768 0.752

***

No. 11
VASP calculation (PBE) on a relaxed structure of ReIrRu2.

Properties
- Energy: -10.001 eV/atom
- DOS(E_F): 3.4 states/eV/f.u.
- ρ: 16.9 Mg/m³
- V: 57 Å³ per cell

Cell lengths 4.694, 4.694, 4.694 Å; angles 131.28, 131.28, 71.37 degrees
Fractional positions:
Re1 0.000 0.000 0.000
Ir1 0.500 0.500 0.000
Ru1 0.250 0.750 0.500
Ru2 0.750 0.250 0.500

***

No. 12
VASP calculation (PBE) on a relaxed structure of ReIr6Ru2.

Properties
- DOS(E_F): 8.2 states/eV/f.u.
- ρ: 19.0 Mg/m³
- V: 270 Å³ per cell
- E above lowest polymorph: 2.70 eV per formula unit

Cell lengths 7.482, 7.482, 5.055 Å; angles 95.06, 95.06, 105.65 degrees
Fractional positions:
Re1 0.071 0.929 0.750
Re2 0.929 0.071 0.250
Ir1 0.029 0.269 0.815
Ir2 0.075 0.421 0.319
Ir3 0.265 0.637 0.985
Ir4 0.269 0.029 0.315
Ir5 0.363 0.735 0.515
Ir6 0.421 0.075 0.819
Ir7 0.579 0.925 0.181
Ir8 0.637 0.265 0.485
Ir9 0.731 0.971 0.685
Ir10 0.735 0.363 0.015
Ir11 0.925 0.579 0.681
Ir12 0.971 0.731 0.185
Ru1 0.350 0.381 0.627
Ru2 0.381 0.350 0.127
Ru3 0.619 0.650 0.873
Ru4 0.650 0.619 0.373

***

No. 13
VASP calculation (PBE) on a relaxed structure of ReIr2Ru.

Properties
- Energy: -9.887 eV/atom
- DOS(E_F): 3.1 states/eV/f.u.
- ρ: 19.3 Mg/m³
- V: 58 Å³ per cell

Cell lengths 9.002, 9.002, 9.002 Å; angles 17.55, 17.55, 17.55 degrees
Fractional positions:
Re1 0.000 0.000 0.000
Ir1 0.250 0.250 0.250
Ir2 0.750 0.750 0.750
Ru1 0.500 0.500 0.500

***

No. 14
VASP calculation (PBE) on a relaxed structure of ReIr2Ru.

Properties
- Energy: -9.947 eV/atom
- DOS(E_F): 3.0 states/eV/f.u.
- ρ: 19.3 Mg/m³
- V: 58 Å³ per cell

Cell lengths 4.714, 4.714, 4.714 Å; angles 131.41, 131.41, 71.17 degrees
Fractional positions:
Re1 0.000 0.000 0.000
Ir1 0.250 0.750 0.500
Ir2 0.500 0.500 0.000
Ru1 0.750 0.250 0.500

***

No. 15
VASP calculation (PBE) on a relaxed structure of ReIr4Ru2.

Properties
- DOS(E_F): 8.4 states/eV/f.u.
- ρ: 17.5 Mg/m³
- V: 220 Å³ per cell
- E above lowest polymorph: 1.94 eV per formula unit

Cell lengths 6.586, 6.586, 6.586 Å; angles 109.58, 109.58, 109.25 degrees
Fractional positions:
Re1 0.000 0.000 0.000
Re2 0.750 0.250 0.500
Ir1 0.117 0.194 0.747
Ir2 0.121 0.698 0.753
Ir3 0.302 0.056 0.423
Ir4 0.448 0.371 0.253
Ir5 0.629 0.883 0.077
Ir6 0.633 0.879 0.577
Ir7 0.806 0.552 0.923
Ir8 0.944 0.367 0.247
Ru1 0.252 0.625 0.127
Ru2 0.375 0.502 0.627
Ru3 0.498 0.125 0.873
Ru4 0.875 0.748 0.373

***

No. 16
VASP calculation (PBE) on a relaxed structure of ReIr5Ru2.

Properties
- Energy: -9.076 eV/atom
- DOS(E_F): 10.4 states/eV/f.u.
- ρ: 18.4 Mg/m³
- V: 244 Å³ per cell

Cell lengths 7.303, 7.303, 7.303 Å; angles 126.48, 126.48, 79.10 degrees
Fractional positions:
Re1 0.250 0.250 0.000
Re2 0.750 0.750 0.000
Ir1 0.000 0.000 0.000
Ir2 0.025 0.525 0.209
Ir3 0.184 0.975 0.500
Ir4 0.316 0.816 0.791
Ir5 0.475 0.684 0.500
Ir6 0.500 0.500 0.000
Ir7 0.525 0.316 0.500
Ir8 0.684 0.184 0.209
Ir9 0.816 0.025 0.500
Ir10 0.975 0.475 0.791
Ru1 0.136 0.364 0.500
Ru2 0.364 0.864 0.229
Ru3 0.636 0.136 0.771
Ru4 0.864 0.636 0.500

***

No. 17
VASP calculation (PBE) on a relaxed structure of Re3Ir2Ru4.

Properties
- Energy: -10.360 eV/atom
- DOS(E_F): 7.7 states/eV/f.u.
- ρ: 17.4 Mg/m³
- V: 258 Å³ per cell

Cell lengths 4.776, 7.022, 8.490 Å; angles 108.55, 106.33, 90.04 degrees
Fractional positions:
Re1 0.057 0.306 0.444
Re2 0.278 0.030 0.223
Re3 0.390 0.641 0.112
Re4 0.610 0.359 0.888
Re5 0.722 0.970 0.777
Re6 0.943 0.694 0.556
Ir1 0.056 0.473 0.777
Ir2 0.166 0.247 0.998
Ir3 0.834 0.753 0.002
Ir4 0.944 0.527 0.223
Ru1 0.168 0.084 0.667
Ru2 0.278 0.860 0.886
Ru3 0.391 0.808 0.448
Ru4 0.497 0.581 0.664
Ru5 0.503 0.419 0.336
Ru6 0.609 0.192 0.552
Ru7 0.722 0.140 0.114
Ru8 0.832 0.916 0.333

***

No. 18
VASP calculation (PBE) on a relaxed structure of ReIrRu2.

Properties
- Energy: -9.972 eV/atom
- DOS(E_F): 3.6 states/eV/f.u.
- ρ: 16.8 Mg/m³
- V: 57 Å³ per cell

Cell lengths 2.725, 2.725, 7.717 Å; angles 90.00, 90.00, 90.00 degrees
Fractional positions:
Re1 0.000 0.000 0.000
Ir1 0.500 0.500 0.749
Ru1 0.000 0.000 0.495
Ru2 0.500 0.500 0.250

***

No. 19
VASP calculation (PBE) on a relaxed structure of ReIr2Ru.

Properties
- Energy: -9.956 eV/atom
- DOS(E_F): 3.1 states/eV/f.u.
- ρ: 19.3 Mg/m³
- V: 58 Å³ per cell

Cell lengths 4.735, 4.735, 4.735 Å; angles 131.90, 131.90, 70.39 degrees
Fractional positions:
Re1 0.000 0.000 0.000
Ir1 0.250 0.750 0.500
Ir2 0.750 0.250 0.500
Ru1 0.500 0.500 0.000

***

No. 20
VASP calculation (PBE) on a relaxed structure of Re2Ir3Ru2.

Properties
- Energy: -9.938 eV/atom
- DOS(E_F): 6.3 states/eV/f.u.
- ρ: 18.6 Mg/m³
- V: 103 Å³ per cell

Cell lengths 9.379, 9.379, 2.728 Å; angles 90.00, 90.00, 154.57 degrees
Fractional positions:
Re1 0.211 0.789 0.000
Re2 0.789 0.211 0.000
Ir1 0.349 0.651 0.500
Ir2 0.500 0.500 0.500
Ir3 0.651 0.349 0.500
Ru1 0.073 0.927 0.000
Ru2 0.927 0.073 0.000

***

No. 21
VASP calculation (PBE) on a relaxed structure of ReIr3Ru2.

Properties
- DOS(E_F): 6.2 states/eV/f.u.
- ρ: 17.9 Mg/m³
- V: 179 Å³ per cell
- E above lowest polymorph: 1.09 eV per formula unit

Cell lengths 8.959, 8.959, 7.870 Å; angles 109.91, 109.91, 17.56 degrees
Fractional positions:
Re1 0.171 0.171 0.038
Re2 0.829 0.829 0.962
Ir1 0.062 0.062 0.430
Ir2 0.204 0.204 0.737
Ir3 0.428 0.428 0.247
Ir4 0.572 0.572 0.753
Ir5 0.796 0.796 0.263
Ir6 0.938 0.938 0.570
Ru1 0.197 0.197 0.378
Ru2 0.435 0.435 0.866
Ru3 0.565 0.565 0.134
Ru4 0.803 0.803 0.622

***

No. 22
VASP calculation (PBE) on a relaxed structure of ReIrRu2.

Properties
- Energy: -10.097 eV/atom
- DOS(E_F): 3.0 states/eV/f.u.
- ρ: 16.9 Mg/m³
- V: 228 Å³ per cell

Cell lengths 4.756, 4.349, 11.020 Å; angles 90.00, 90.00, 90.00 degrees
Fractional positions:
Re1 0.083 0.250 0.063
Re2 0.417 0.750 0.563
Re3 0.583 0.250 0.437
Re4 0.917 0.750 0.937
Ir1 0.084 0.250 0.314
Ir2 0.416 0.750 0.814
Ir3 0.584 0.250 0.186
Ir4 0.916 0.750 0.686
Ru1 0.079 0.250 0.562
Ru2 0.086 0.250 0.810
Ru3 0.414 0.750 0.310
Ru4 0.421 0.750 0.062
Ru5 0.579 0.250 0.938
Ru6 0.586 0.250 0.690
Ru7 0.914 0.750 0.190
Ru8 0.921 0.750 0.438

***

No. 23
VASP calculation (PBE) on a relaxed structure of Re2Ir4Ru3.

Properties
- Energy: -9.922 eV/atom
- DOS(E_F): 7.5 states/eV/f.u.
- ρ: 18.6 Mg/m³
- V: 258 Å³ per cell

Cell lengths 4.779, 7.024, 8.487 Å; angles 71.51, 73.80, 89.93 degrees
Fractional positions:
Re1 0.113 0.362 0.111
Re2 0.333 0.915 0.665
Re3 0.667 0.085 0.335
Re4 0.887 0.638 0.889
Ir1 0.001 0.582 0.333
Ir2 0.222 0.976 0.219
Ir3 0.333 0.750 0.000
Ir4 0.447 0.697 0.442
Ir5 0.553 0.303 0.558
Ir6 0.667 0.250 0.000
Ir7 0.778 0.024 0.781
Ir8 0.999 0.418 0.667
Ru1 0.112 0.193 0.442
Ru2 0.220 0.140 0.889
Ru3 0.444 0.530 0.778
Ru4 0.556 0.470 0.222
Ru5 0.780 0.860 0.111
Ru6 0.888 0.807 0.558